Model P:
A relaxed CoOsCl crystal. Source: Alexandria via LeMat-Bulk, functional PBE.

Cell and atoms, written as POSCAR:
```
CoOsCl
1.0
2.862 0.000 0.000
-1.431 2.479 0.000
0.000 0.000 5.881
Os Cl Co
1 1 1
Direct
0.667 0.333 0.639
0.000 0.000 0.030
0.333 0.667 0.331
```

Output
calculated volume = 41.7 Å³ per cell
size of the total moment = 0.18 μB/f.u.
space-group type = P3m1 (156)

---

Model Q:
A relaxed CoOsCl crystal. Source: Alexandria via LeMat-Bulk, functional PBE.

Cell and atoms, written as POSCAR:
```
CoOsCl
1.0
4.055 0.000 0.000
2.028 3.512 0.000
2.028 1.171 3.311
Cl Co Os
1 1 1
Direct
0.000 0.000 0.000
0.500 0.500 0.500
0.750 0.750 0.750
```

Output
calculated volume = 47.2 Å³ per cell
size of the total moment = 0.00 μB/f.u.
space-group type = F-43m (216)

---

Verdict on stability: model P comes out on top.

---

Model P:
A relaxed CoOsCl3 crystal. Source: Alexandria via LeMat-Bulk, functional PBE.

Cell and atoms, written as POSCAR:
```
CoOsCl3
1.0
4.777 0.000 0.000
0.000 4.777 0.000
0.000 0.000 4.777
Os Cl Co
1 3 1
Direct
0.000 0.000 0.000
0.000 0.000 0.500
0.500 0.000 0.000
0.000 0.500 0.000
0.500 0.500 0.500
```

Output
calculated volume = 109.0 Å³ per cell
size of the total moment = 3.30 μB/f.u.
space-group type = Pm-3m (221)

---

Model Q:
A relaxed CoOsCl3 crystal. Source: Alexandria via LeMat-Bulk, functional PBE.

Cell and atoms, written as POSCAR:
```
CoOsCl3
1.0
4.622 0.000 0.000
0.000 4.622 0.000
0.000 0.000 4.622
Cl Co Os
3 1 1
Direct
0.500 0.000 0.000
0.000 0.000 0.500
0.000 0.500 0.000
0.000 0.000 0.000
0.500 0.500 0.500
```

Output
calculated volume = 98.7 Å³ per cell
size of the total moment = 5.98 μB/f.u.
space-group type = Pm-3m (221)

---

Verdict on stability: model P comes out on top.

---

Model P:
A relaxed CoPOsCl2 crystal. Source: Alexandria via LeMat-Bulk, functional PBE.

Cell and atoms, written as POSCAR:
```
CoPOsCl2
1.0
4.932 0.000 0.000
0.000 4.932 0.000
0.000 0.000 4.472
Os Cl P Co
1 2 1 1
Direct
0.000 0.000 0.000
0.500 0.000 0.000
0.000 0.500 0.000
0.000 0.000 0.500
0.500 0.500 0.500
```

Output
calculated volume = 108.8 Å³ per cell
size of the total moment = 2.55 μB/f.u.
space-group type = P4/mmm (123)

---

Model Q:
A relaxed CoPOsCl2 crystal. Source: Alexandria via LeMat-Bulk, functional PBE.

Cell and atoms, written as POSCAR:
```
CoPOsCl2
1.0
4.379 0.000 0.000
0.000 4.379 0.000
0.000 0.000 4.704
Os P Cl Co
1 1 2 1
Direct
0.500 0.500 0.500
0.000 0.000 0.500
0.500 0.000 0.000
0.000 0.500 0.000
0.000 0.000 0.000
```

Output
calculated volume = 90.2 Å³ per cell
size of the total moment = 3.68 μB/f.u.
space-group type = P4/mmm (123)

---

Verdict on stability: model P comes out on top.

---

Model P:
A relaxed CoOsS2Cl crystal. Source: Alexandria via LeMat-Bulk, functional PBE.

Cell and atoms, written as POSCAR:
```
CoOsS2Cl
1.0
-0.367 -4.139 -1.542
2.795 0.981 -3.298
3.339 -1.216 2.468
Co S Os Cl
1 2 1 1
Direct
0.000 0.000 0.000
0.000 0.500 0.000
0.500 0.000 0.000
0.500 0.500 0.500
0.000 0.000 0.500
```

Output
calculated volume = 85.0 Å³ per cell
size of the total moment = 2.92 μB/f.u.
space-group type = P4/mmm (123)

---

Model Q:
A relaxed CoOsS2Cl crystal. Source: Alexandria via LeMat-Bulk, functional PBE.

Cell and atoms, written as POSCAR:
```
CoOsS2Cl
1.0
4.546 0.000 0.000
0.000 4.546 0.000
0.000 0.000 5.003
Co S Os Cl
1 2 1 1
Direct
0.500 0.500 0.500
0.500 0.000 0.000
0.000 0.500 0.000
0.000 0.000 0.000
0.000 0.000 0.500
```

Output
calculated volume = 103.4 Å³ per cell
size of the total moment = 2.56 μB/f.u.
space-group type = P4/mmm (123)

---

Verdict on stability: model Q comes out on top.